No. 1
VFe3As | Alexandria via LeMat-Bulk | PBE | relaxed; calculated formation energy = 0.771 eV per atom; size of the total moment = 3.940 Bohr magnetons per cell; polymorph energy (0 for the lowest one) = 0 meV/atom; symmetry = Pm-3m (221)
1.0
4.360 0.000 0.000
0.000 4.360 0.000
0.000 0.000 4.360
Fe V As
3 1 1
direct
0.500 0.000 0.000
0.000 0.500 0.000
0.000 0.000 0.500
0.500 0.500 0.500
0.000 0.000 0.000

***

No. 2
ZrInMo | Alexandria via LeMat-Bulk | PBE | relaxed; calculated formation energy = 0.006 eV per atom; size of the total moment = 0.000 Bohr magnetons per cell; polymorph energy (0 for the lowest one) = 0 meV/atom; symmetry = I4mm (107)
1.0
-0.419 -1.447 -5.170
4.017 -2.059 -2.936
-2.471 -0.554 4.752
Zr Mo In
1 1 1
direct
0.679 0.679 0.000
0.328 0.328 0.000
0.993 0.993 0.000

***

No. 3
BaNiSe2 | Alexandria via LeMat-Bulk | PBE | relaxed; calculated total energy = -37.59 eV for the cell shown; size of the total moment = 0.000 Bohr magnetons per cell; symmetry = I-42d (122)
1.0
7.522 0.000 0.000
0.000 7.522 0.000
3.761 3.761 3.566
Ni Ba Se
2 2 4
direct
0.250 0.750 0.500
0.500 0.500 0.000
0.000 0.000 0.000
0.750 0.250 0.500
0.230 0.625 0.250
0.375 0.480 0.750
0.520 0.125 0.250
0.875 0.770 0.750

***

No. 4
LuScSiRu | Alexandria via LeMat-Bulk | PBE | relaxed; calculated total energy = -27.68 eV for the cell shown; size of the total moment = 0.000 Bohr magnetons per cell; symmetry = F-43m (216)
1.0
-3.862 1.990 -1.751
-2.260 -2.018 -3.573
-4.183 -1.990 0.699
Lu Si Sc Ru
1 1 1 1
direct
0.000 0.000 0.000
0.750 0.750 0.750
0.500 0.500 0.500
0.250 0.250 0.250

***

No. 5
LiIr3C | Alexandria via LeMat-Bulk | PBE | relaxed; calculated formation energy = 0.172 eV per atom; size of the total moment = 0.000 Bohr magnetons per cell; polymorph energy (0 for the lowest one) = 0 meV/atom; symmetry = Pm-3m (221)
1.0
4.053 0.000 0.000
0.000 4.053 0.000
0.000 0.000 4.053
C Ir Li
1 3 1
direct
0.000 0.000 0.000
0.500 0.000 0.000
0.000 0.000 0.500
0.000 0.500 0.000
0.500 0.500 0.500

***

No. 6
CoPt2Pb | Alexandria via LeMat-Bulk | PBE | relaxed; calculated formation energy = 0.165 eV per atom; size of the total moment = 2.125 Bohr magnetons per cell; symmetry = Pmm2 (25)
1.0
-0.731 2.890 0.096
-1.770 -0.556 3.266
5.222 1.219 3.039
Pt Pb Co
2 1 1
direct
0.500 0.500 0.280
0.000 0.000 0.023
0.500 0.500 0.748
0.000 0.000 0.450

***

No. 7
Tb12Y2Zr | Alexandria via LeMat-Bulk | PBE | relaxed; calculated formation energy = 0.140 eV per atom; size of the total moment = 0.020 Bohr magnetons per cell; symmetry = C2/m (12)
1.0
-6.272 -0.009 2.136
-3.668 -5.267 -1.645
5.500 -8.276 22.425
Tb Y Zr
24 4 2
direct
0.093 0.852 0.935
0.538 0.478 0.673
0.680 0.820 0.421
0.331 0.645 0.556
0.349 0.151 0.570
0.259 0.241 0.110
0.645 0.331 0.444
0.820 0.680 0.579
0.648 0.407 0.935
0.151 0.349 0.430
0.128 0.940 0.196
0.372 0.560 0.804
0.169 0.855 0.444
0.749 0.751 0.847
0.962 0.022 0.327
0.940 0.128 0.804
0.852 0.093 0.065
0.241 0.259 0.890
0.855 0.169 0.556
0.751 0.749 0.153
0.407 0.648 0.065
0.478 0.538 0.327
0.022 0.962 0.673
0.560 0.372 0.196
0.486 0.014 0.289
0.009 0.491 0.269
0.014 0.486 0.711
0.491 0.009 0.731
0.962 0.538 0.016
0.538 0.962 0.984

***

No. 8
Hg2TePd2 | Alexandria via LeMat-Bulk | PBE | relaxed; size of the total moment = 0.000 Bohr magnetons per cell; polymorph energy (0 for the lowest one) = 117 meV/atom; symmetry = P4/mbm (127)
1.0
-4.136 -7.007 1.252
-0.846 -0.955 -8.134
2.647 -1.578 -0.090
Te Hg Pd
2 4 4
direct
0.000 0.000 0.000
0.500 0.500 0.000
0.342 0.842 0.000
0.158 0.342 0.000
0.842 0.658 0.000
0.658 0.158 0.000
0.366 0.134 0.500
0.134 0.634 0.500
0.634 0.866 0.500
0.866 0.366 0.500

***

No. 9
PuScPb | Alexandria via LeMat-Bulk | PBE | relaxed; calculated formation energy = -0.287 eV per atom; size of the total moment = 13.247 Bohr magnetons per cell; polymorph energy (0 for the lowest one) = 0 meV/atom; symmetry = P6_3/mmc (194)
1.0
-2.145 2.650 -4.112
-1.732 -4.906 1.212
-4.233 2.427 3.773
Pu Sc Pb
2 2 2
direct
0.000 0.500 0.000
0.000 0.500 0.500
0.667 0.833 0.250
0.333 0.167 0.750
0.667 0.833 0.750
0.333 0.167 0.250

***

No. 10
SrCe2PaS8 | Alexandria via LeMat-Bulk | PBE | relaxed; calculated total energy = -75.62 eV for the cell shown; size of the total moment = 0.724 Bohr magnetons per cell; symmetry = P2/m (10)
1.0
4.613 0.000 -0.003
0.006 6.470 -0.008
0.006 0.013 9.841
S Ce Sr Pa
8 2 1 1
direct
0.000 0.754 0.228
0.500 0.319 0.500
0.500 0.760 0.000
0.000 0.754 0.772
0.000 0.246 0.772
0.000 0.246 0.228
0.500 0.240 0.000
0.500 0.681 0.500
0.500 0.500 0.232
0.500 0.500 0.768
0.000 0.000 0.500
0.000 0.000 0.000

***

No. 11
Tl2Te2PdPt | Alexandria via LeMat-Bulk | PBE | relaxed; calculated total energy = -46.92 eV for the cell shown; size of the total moment = 0.000 Bohr magnetons per cell; symmetry = Ibam (72)
1.0
-0.375 -4.561 -4.582
4.545 -3.479 3.092
-7.662 0.371 4.835
Te Pt Tl Pd
4 2 4 2
direct
0.659 0.405 0.810
0.850 0.095 0.190
0.341 0.595 0.190
0.150 0.905 0.810
0.000 0.250 0.000
0.000 0.750 0.000
0.415 0.162 0.325
0.909 0.662 0.325
0.091 0.338 0.675
0.585 0.838 0.675
0.500 0.250 0.000
0.500 0.750 0.000

***

No. 12
Pm4Nd2YTm2 | Alexandria via LeMat-Bulk | PBE | relaxed; calculated formation energy = 0.022 eV per atom; size of the total moment = 0.000 Bohr magnetons per cell; symmetry = C2/m (12)
1.0
-2.010 3.614 3.018
-4.893 -1.023 -6.376
-1.902 -5.613 5.455
Pm Y Tm Nd
4 1 2 2
direct
0.778 0.556 0.670
0.555 0.111 0.331
0.445 0.889 0.669
0.222 0.444 0.330
0.000 0.000 0.000
0.667 0.335 0.000
0.333 0.665 0.000
0.888 0.776 0.331
0.112 0.224 0.669

***

No. 13
VFeIr3 | Alexandria via LeMat-Bulk | PBE | relaxed; calculated formation energy = -0.278 eV per atom; size of the total moment = 3.951 Bohr magnetons per cell; polymorph energy (0 for the lowest one) = 0 meV/atom; symmetry = C2/m (12)
1.0
-2.864 0.159 2.487
1.142 -5.001 1.635
5.837 1.321 3.738
V Ir Fe
2 6 2
direct
0.418 0.841 0.869
0.626 0.738 0.285
0.627 0.247 0.286
0.021 0.037 0.075
0.224 0.943 0.480
0.023 0.541 0.079
0.417 0.331 0.868
0.820 0.636 0.674
0.224 0.435 0.481
0.820 0.144 0.673

***

No. 14
YSc2Sb2 | Alexandria via LeMat-Bulk | PBE | relaxed; size of the total moment = 2.325 Bohr magnetons per cell; polymorph energy (0 for the lowest one) = 405 meV/atom; symmetry = I4/mmm (139)
1.0
5.481 0.000 0.000
0.000 5.481 0.000
2.740 2.740 4.671
Sb Sc Y
2 2 1
direct
0.750 0.250 0.500
0.250 0.750 0.500
0.338 0.338 0.324
0.662 0.662 0.676
0.000 0.000 0.000

***

No. 15
LiFeSb2 | Alexandria via LeMat-Bulk | PBE | relaxed; size of the total moment = 1.001 Bohr magnetons per cell; polymorph energy (0 for the lowest one) = 29 meV/atom; symmetry = P4/mmm (123)
1.0
-2.286 -1.261 -1.786
0.686 -2.867 1.146
-5.011 1.064 5.662
Sb Li Fe
2 1 1
direct
0.000 0.000 0.039
0.000 0.000 0.461
0.500 0.500 0.750
0.500 0.500 0.250

***

No. 16
Ho2Ag3Hg4 | Alexandria via LeMat-Bulk | PBE | relaxed; calculated formation energy = -0.175 eV per atom; size of the total moment = 0.000 Bohr magnetons per cell; polymorph energy (0 for the lowest one) = 89 meV/atom; symmetry = Cmce (64)
1.0
-2.352 -2.853 -4.795
-3.087 -6.293 5.260
-5.452 5.413 3.277
Hg Ag Ho
8 6 4
direct
0.787 0.250 0.075
0.287 0.250 0.075
0.819 0.032 0.637
0.181 0.968 0.363
0.713 0.750 0.925
0.681 0.532 0.363
0.319 0.468 0.637
0.213 0.750 0.925
0.000 0.000 0.000
0.500 0.500 0.000
0.972 0.250 0.445
0.528 0.750 0.555
0.028 0.750 0.555
0.472 0.250 0.445
0.619 0.933 0.237
0.881 0.433 0.763
0.119 0.567 0.237
0.381 0.067 0.763

***

No. 17
Ce2AgRh2 | Alexandria via LeMat-Bulk | PBE | relaxed; calculated formation energy = -0.609 eV per atom; size of the total moment = 0.639 Bohr magnetons per cell; symmetry = P4/mbm (127)
1.0
3.656 0.000 0.000
0.000 7.618 0.000
0.000 0.000 7.618
Ag Rh Ce
2 4 4
direct
0.500 0.000 0.500
0.500 0.500 0.000
0.500 0.136 0.864
0.500 0.364 0.364
0.500 0.636 0.636
0.500 0.864 0.136
0.000 0.669 0.331
0.000 0.831 0.831
0.000 0.331 0.669
0.000 0.169 0.169

***

No. 18
YCr2Mo | Alexandria via LeMat-Bulk | PBE | relaxed; calculated formation energy = 0.494 eV per atom; size of the total moment = 0.001 Bohr magnetons per cell; polymorph energy (0 for the lowest one) = 139 meV/atom; symmetry = C2/m (12)
1.0
4.876 0.008 0.001
3.829 3.018 0.001
1.614 0.561 5.009
Cr Y Mo
2 1 1
direct
0.468 0.468 0.620
0.032 0.032 0.880
0.250 0.250 0.250
0.750 0.750 0.750

***

No. 19
ZnGe2Pt | Alexandria via LeMat-Bulk | PBE | relaxed; calculated formation energy = -0.068 eV per atom; size of the total moment = 0.001 Bohr magnetons per cell; symmetry = I-42d (122)
1.0
-0.450 1.094 3.894
3.879 -0.993 0.728
4.098 7.943 0.369
Pt Zn Ge
2 2 4
direct
0.000 0.000 0.000
0.750 0.250 0.500
0.500 0.500 0.000
0.250 0.750 0.500
0.624 0.125 0.250
0.875 0.874 0.750
0.375 0.376 0.750
0.126 0.625 0.250

***

No. 20
FeRe2H | Alexandria via LeMat-Bulk | PBE | relaxed; size of the total moment = 0.000 Bohr magnetons per cell; polymorph energy (0 for the lowest one) = 0 meV/atom; symmetry = I-42d (122)
1.0
5.839 0.000 0.000
0.000 5.839 0.000
2.920 2.920 2.594
Re H Fe
4 2 2
direct
0.375 0.455 0.750
0.875 0.795 0.750
0.545 0.125 0.250
0.205 0.625 0.250
0.250 0.750 0.500
0.500 0.500 0.000
0.000 0.000 0.000
0.750 0.250 0.500